Record 1
Entry from Alexandria via LeMat-Bulk: a geometry-optimized AlAs structure (PBE).

a b c (Å): 7.0506 7.0506 7.0506
angles (deg): 90.00 90.00 90.00
Positions (direct):
Al  0.0000  0.2500  0.5000
Al  0.0000  0.7500  0.5000
Al  0.2500  0.5000  0.0000
Al  0.5000  0.0000  0.2500
Al  0.5000  0.0000  0.7500
Al  0.7500  0.5000  0.0000
As  0.0000  0.5000  0.2500
As  0.0000  0.5000  0.7500
As  0.2500  0.0000  0.5000
As  0.5000  0.2500  0.0000
As  0.5000  0.7500  0.0000
As  0.7500  0.0000  0.5000

Total DFT energy (no corrections) ... -4.53 eV/atom
Crystal system ... cubic
V ... 350.5 Å³ per cell

=====

Record 2
Entry from Alexandria via LeMat-Bulk: a geometry-optimized KIn2AgO structure (PBE).

a b c (Å): 5.1961 5.1961 5.9992
angles (deg): 90.00 90.00 90.00
Positions (direct):
K  0.0000  0.0000  0.0000
In  0.0000  0.5000  0.5000
In  0.5000  0.0000  0.5000
Ag  0.0000  0.0000  0.5000
O  0.5000  0.5000  0.0000

Crystal system ... tetragonal
V ... 162.0 Å³ per cell
ΔE_f (raw) ... 30.9 kJ per mole of atoms

=====

- The highest V belongs to which entry?
  AlAs